VASP calculation (PBE) on a relaxed structure of TlFeB3.

a = 4.4223 Å, b = 4.4223 Å, c = 4.4223 Å
α = 90.00°, β = 90.00°, γ = 90.00°
With the nearest neighbours (Å) after each atom.
Space group Pm-3m (No. 221)
Symmetry-distinct sites (fractional):
Tl (0.0000, 0.0000, 0.0000)  6 B 2.21
Fe (0.5000, 0.5000, 0.5000)  12 B 3.13
B (0.0000, 0.0000, 0.5000)  2 Tl 2.21

As for the volume: 17.297 Å³/atom. The density of states at the Fermi level comes out at 1.561 states/eV per atom. The value obtained for the excess energy over the best structure of this formula in the dataset is 2178 meV/atom.

VASP calculation (PBE) on a relaxed structure of TlFe3B.

a = 3.9769 Å, b = 3.9769 Å, c = 3.9769 Å
α = 90.00°, β = 90.00°, γ = 90.00°
With the nearest neighbours (Å) after each atom.
Space group Pm-3m (No. 221)
Symmetry-distinct sites (fractional):
Tl (0.0000, 0.0000, 0.0000)  12 Fe 2.81
Fe (0.0000, 0.5000, 0.5000)  2 B 1.99
B (0.5000, 0.5000, 0.5000)  6 Fe 1.99

As for the volume: 12.580 Å³/atom. The density of states at the Fermi level comes out at 1.342 states/eV per atom. The value obtained for the excess energy over the best structure of this formula in the dataset is 0 meV/atom.

VASP calculation (PBE) on a relaxed structure of TlFe2B.

a = 5.9474 Å, b = 5.9474 Å, c = 5.9474 Å
α = 90.00°, β = 90.00°, γ = 90.00°
With the nearest neighbours (Å) after each atom.
Space group Fm-3m (No. 225)
Symmetry-distinct sites (fractional):
Tl (0.0000, 0.0000, 0.0000)  8 Fe 2.58
Fe (0.2500, 0.2500, 0.2500)  4 Tl 2.58, 4 B 2.58
B (0.0000, 0.0000, 0.5000)  8 Fe 2.58

As for the volume: 13.148 Å³/atom. The density of states at the Fermi level comes out at 0.824 states/eV per atom. The value obtained for the excess energy over the best structure of this formula in the dataset is 185 meV/atom.

Going through the records in order, we get energy of formation values of 15.649; 1.161; 4.215 eV/f.u..